Entry 1:
First-principles (GGA-PBEsol) data for TeAsI2F after structural relaxation, as listed in Alexandria.

ΔE_f (raw) = 5.9 kcal/mol of atoms
Total energy = -2.56 eV per atom

Cell lengths 5.647, 5.647, 4.169 Å; angles 90.00, 90.00, 90.00 degrees
Fractional positions:
Te (0.000, 0.000, 0.000)
As (0.500, 0.500, 0.000)
I (0.000, 0.500, 0.500)
I (0.500, 0.000, 0.500)
F (0.000, 0.000, 0.500)

---

Entry 2:
First-principles (GGA-PBEsol) data for CaLa2Hg after structural relaxation, as listed in Alexandria.

ΔE_f = -0.221 eV per atom
Total energy = -3.57 eV per atom

Cell lengths 12.583, 3.902, 5.620 Å; angles 90.00, 115.55, 90.00 degrees
Fractional positions:
Ca (0.000, 0.000, 0.000)
Ca (0.500, 0.500, 0.000)
La (0.060, 0.500, 0.558)
La (0.285, 0.500, 0.299)
La (0.560, 0.000, 0.558)
La (0.785, 0.000, 0.299)
Hg (0.289, 0.000, 0.807)
Hg (0.789, 0.500, 0.807)

---

Entry 3:
First-principles (GGA-PBEsol) data for SrZn2Ni after structural relaxation, as listed in Alexandria.

ΔE_f = 0.018 eV per atom
Total energy = -2.77 eV per atom

Cell lengths 3.203, 3.372, 6.824 Å; angles 90.00, 90.00, 90.00 degrees
Fractional positions:
Sr (0.000, 0.000, 0.000)
Zn (0.000, 0.000, 0.553)
Zn (0.500, 0.500, 0.338)
Ni (0.500, 0.500, 0.689)

---

Entry 4:
First-principles (GGA-PBEsol) data for CdAg2Au after structural relaxation, as listed in Alexandria.

ΔE_f = -0.060 eV per atom
Total energy = -3.00 eV per atom

Cell lengths 2.844, 4.746, 5.174 Å; angles 90.00, 95.61, 90.00 degrees
Fractional positions:
Cd (0.000, 0.000, 0.000)
Ag (0.259, 0.500, 0.748)
Ag (0.741, 0.500, 0.252)
Au (0.500, 0.000, 0.500)

---

Entry 5:
First-principles (GGA-PBEsol) data for Na2LiH6N3 after structural relaxation, as listed in Alexandria.

Total energy = -4.63 eV per atom

Cell lengths 6.176, 6.176, 10.823 Å; angles 90.00, 90.00, 90.00 degrees
Fractional positions:
Na (0.000, 0.000, 0.000)
Na (0.000, 0.000, 0.500)
Na (0.000, 0.500, 0.141)
Na (0.000, 0.500, 0.859)
Na (0.500, 0.000, 0.359)
Na (0.500, 0.000, 0.641)
Na (0.500, 0.500, 0.250)
Na (0.500, 0.500, 0.750)
Li (0.346, 0.359, 0.500)
Li (0.359, 0.654, 0.000)
Li (0.641, 0.346, 0.000)
Li (0.654, 0.641, 0.500)
H (0.048, 0.345, 0.358)
H (0.048, 0.345, 0.642)
H (0.161, 0.164, 0.272)
H (0.161, 0.164, 0.728)
H (0.164, 0.839, 0.228)
H (0.164, 0.839, 0.772)
H (0.242, 0.691, 0.425)
H (0.242, 0.691, 0.575)
H (0.309, 0.242, 0.075)
H (0.309, 0.242, 0.925)
H (0.345, 0.952, 0.142)
H (0.345, 0.952, 0.858)
H (0.655, 0.048, 0.142)
H (0.655, 0.048, 0.858)
H (0.691, 0.758, 0.075)
H (0.691, 0.758, 0.925)
H (0.758, 0.309, 0.425)
H (0.758, 0.309, 0.575)
H (0.836, 0.161, 0.228)
H (0.836, 0.161, 0.772)
H (0.839, 0.836, 0.272)
H (0.839, 0.836, 0.728)
H (0.952, 0.655, 0.358)
H (0.952, 0.655, 0.642)
N (0.198, 0.278, 0.338)
N (0.198, 0.278, 0.662)
N (0.276, 0.339, 0.000)
N (0.278, 0.802, 0.162)
N (0.278, 0.802, 0.838)
N (0.339, 0.724, 0.500)
N (0.661, 0.276, 0.500)
N (0.722, 0.198, 0.162)
N (0.722, 0.198, 0.838)
N (0.724, 0.661, 0.000)
N (0.802, 0.722, 0.338)
N (0.802, 0.722, 0.662)

---

Entry 6:
First-principles (GGA-PBEsol) data for CaYFe2 after structural relaxation, as listed in Alexandria.

ΔE_f = 0.602 eV per atom
Total energy = -6.12 eV per atom

Cell lengths 6.634, 6.634, 6.634 Å; angles 90.00, 90.00, 90.00 degrees
Fractional positions:
Ca (0.000, 0.000, 0.000)
Ca (0.000, 0.500, 0.500)
Ca (0.500, 0.000, 0.500)
Ca (0.500, 0.500, 0.000)
Y (0.250, 0.250, 0.250)
Y (0.250, 0.750, 0.750)
Y (0.750, 0.250, 0.750)
Y (0.750, 0.750, 0.250)
Fe (0.000, 0.000, 0.500)
Fe (0.000, 0.500, 0.000)
Fe (0.250, 0.250, 0.750)
Fe (0.250, 0.750, 0.250)
Fe (0.500, 0.000, 0.000)
Fe (0.500, 0.500, 0.500)
Fe (0.750, 0.250, 0.250)
Fe (0.750, 0.750, 0.750)